No. 1
ScOs2SeF: relaxed, PBE.

a b c (Å): 4.9287 3.8138 4.9287
angles (deg): 90.00 90.00 90.00
Each line ends with the local moment (μB).
Fractional coordinates of all 5 atoms:
Sc1 0.0000 0.0000 0.0000  -0.03
Os1 0.0000 0.0000 0.5000  0.56
Os2 0.5000 0.0000 0.0000  0.57
Se1 0.5000 0.5000 0.5000  -0.02
F1 0.0000 0.5000 0.0000  0.01

Results
density of states at the Fermi level	6.56	states/eV/f.u.
symmetry	P4/mmm (123)
raw formation energy	0.75	eV/atom

---

No. 2
SrScOs2F: relaxed, PBE.

a b c (Å): 4.8713 5.8118 4.8713
angles (deg): 90.00 90.00 90.00
Each line ends with the local moment (μB).
Fractional coordinates of all 5 atoms:
Sc1 0.0000 0.5000 0.0000  -0.65
Sr1 0.0000 0.0000 0.0000  -0.10
Os1 0.0000 0.0000 0.5000  1.17
Os2 0.5000 0.0000 0.0000  1.39
F1 0.5000 0.5000 0.5000  0.04

Results
density of states at the Fermi level	4.64	states/eV/f.u.
symmetry	P4/mmm (123)
raw formation energy	2.46	eV/atom